Record 1
Crystalline TeRhPb2O6 at its relaxed geometry, computed with PBE.

Calculated values
space group = R-3m

Structure (extended XYZ):
```
20
Lattice="-1.7671 2.1779 -5.0348 -5.5178 -0.5116 -1.5833 -4.6295 9.6845 2.5156" Properties=species:S:1:pos:R:3 pbc="T T T"
Pb -2.6147 1.3285 -1.8062
O -5.3846 5.2774 -3.9183
Te 0.0000 0.0000 0.0000
O -6.2815 2.4288 -4.9335
O -5.6330 8.9221 0.8310
O -4.5843 4.2910 -1.6380
O -5.4288 1.3779 -2.5041
Pb -3.8963 6.6435 0.9428
O -3.6190 2.6756 -4.1695
O -7.3301 7.0598 -2.4644
Pb -9.2997 10.0223 -2.2963
O -6.5298 6.0734 -0.1842
Rh -6.5307 8.0537 -0.8212
Te -5.9572 5.6754 -2.0512
O -8.2955 8.6752 0.0671
O -4.8311 7.2915 -1.7474
Rh -5.3837 3.2972 -3.2813
Pb -8.0182 4.7073 -5.0452
O -7.0833 4.0593 -2.3551
O -6.4856 9.9730 -1.5984
```



Record 2
Crystalline TeRhPbO5 at its relaxed geometry, computed with PBE.

Calculated values
N(E_F) = 0.5058 states/eV per atom
space group = C2/c

Structure (extended XYZ):
```
16
Lattice="7.5762 -0.8986 -0.5015 -3.0711 6.9839 -0.5015 -2.5326 -3.4208 6.3553" Properties=species:S:1:pos:R:3 pbc="T T T"
O -3.3710 0.9067 5.4576
Te -1.8131 2.0808 4.2649
Te 3.7857 0.5837 1.0873
O 3.2543 1.9289 2.3027
O -2.6615 5.3567 1.0873
Rh -1.1401 4.2304 1.0873
O 2.3439 0.6993 -0.1281
O -0.3714 1.9652 5.4804
O 5.3436 1.7577 -0.1054
Rh 3.1127 -1.5660 4.2649
O -1.2817 0.7355 3.0495
O 4.6340 -2.6923 4.2649
Pb 0.0000 0.0000 0.0000
Pb -1.2663 -1.7104 3.1776
O -1.1450 3.9135 3.0722
O 3.1176 -1.2491 2.2800
```



| no. | total energy (eV per cell) | formation energy without anion corrections (eV/atom) | total moment (μB per cell) |
| --- | --- | --- | --- |
| 1 | -112.38 | -0.853 | 0.00 |
| 2 | -89.61 | -0.727 | 0.00 |